DFT (PBE-GGA) results for crystalline GaCuF2 at its relaxed geometry. Values from VASP.

The structure in Quantum ESPRESSO input format:
```
&SYSTEM
  ibrav = 0, nat = 8, ntyp = 3
/
ATOMIC_SPECIES
Cu 63.55 Cu.upf
Ga 69.72 Ga.upf
F 19.00 F.upf
ATOMIC_POSITIONS crystal
Cu 0.250 0.520 0.502
Cu 0.750 0.020 0.498
Ga 0.255 0.003 0.735
Ga 0.745 0.503 0.265
F 0.242 0.500 0.125
F 0.758 0.000 0.875
F 0.745 0.000 0.239
F 0.255 0.500 0.761
CELL_PARAMETERS angstrom
-0.210 -0.976 2.845
0.193 -3.873 -1.315
8.604 0.211 0.640
```

- ΔE to the lowest computed polymorph: 0.01 eV per formula unit
- Symmetry: P2_1 (4)
- Energy relative to the elements, uncorrected: -1.543 eV per atom
- Electronic total energy: -17.0 eV per formula unit

---

DFT (PBE-GGA) results for crystalline Sr2FeMo at its relaxed geometry. Values from VASP.

The structure in Quantum ESPRESSO input format:
```
&SYSTEM
  ibrav = 0, nat = 4, ntyp = 3
/
ATOMIC_SPECIES
Fe 55.84 Fe.upf
Mo 95.94 Mo.upf
Sr 87.62 Sr.upf
ATOMIC_POSITIONS crystal
Fe 0.000 0.000 0.594
Mo 0.500 0.500 0.653
Sr 0.000 0.000 0.928
Sr 0.500 0.500 0.325
CELL_PARAMETERS angstrom
-0.500 -2.277 2.463
-2.327 -1.557 -1.914
6.647 -5.425 -3.667
```

- Formation energy from the elements: 570 meV/atom
- ΔE to the lowest computed polymorph: 0.00 eV per formula unit
- Symmetry: P4mm (99)
- Electronic total energy: -20.4 eV per formula unit

---

DFT (PBE-GGA) results for crystalline Th2BPRh6 at its relaxed geometry. Values from VASP.

The structure in Quantum ESPRESSO input format:
```
&SYSTEM
  ibrav = 0, nat = 10, ntyp = 4
/
ATOMIC_SPECIES
Th 232.04 Th.upf
B 10.81 B.upf
P 30.97 P.upf
Rh 102.91 Rh.upf
ATOMIC_POSITIONS crystal
Th 0.000 0.000 0.741
Th 0.000 0.000 0.259
B 0.500 0.500 0.500
P 0.500 0.500 0.000
Rh 0.500 0.000 0.000
Rh 0.500 0.000 0.500
Rh 0.000 0.500 0.000
Rh 0.000 0.500 0.500
Rh 0.500 0.500 0.734
Rh 0.500 0.500 0.266
CELL_PARAMETERS angstrom
-4.349 0.485 0.651
-0.445 -4.391 0.300
1.340 0.453 8.611
```

- Formation energy from the elements: -753 meV/atom
- Symmetry: P4/mmm (123)
- Electronic total energy: -78.6 eV per formula unit

---

DFT (PBE-GGA) results for crystalline Ac2PdI at its relaxed geometry. Values from VASP.

The structure in Quantum ESPRESSO input format:
```
&SYSTEM
  ibrav = 0, nat = 4, ntyp = 3
/
ATOMIC_SPECIES
I 126.90 I.upf
Ac 227.00 Ac.upf
Pd 106.42 Pd.upf
ATOMIC_POSITIONS crystal
I 0.500 0.500 0.500
Ac 0.271 0.271 0.187
Ac 0.729 0.729 0.813
Pd 0.000 0.000 0.000
CELL_PARAMETERS angstrom
4.490 0.000 0.000
2.245 3.888 0.000
2.245 1.296 8.664
```

- ΔE to the lowest computed polymorph: 0.00 eV per formula unit
- Symmetry: R-3m (166)
- Energy relative to the elements, uncorrected: -0.970 eV per atom
- Electronic total energy: -18.8 eV per formula unit

---

DFT (PBE-GGA) results for crystalline BaTa2Be at its relaxed geometry. Values from VASP.

The structure in Quantum ESPRESSO input format:
```
&SYSTEM
  ibrav = 0, nat = 4, ntyp = 3
/
ATOMIC_SPECIES
Be 9.01 Be.upf
Ba 137.33 Ba.upf
Ta 180.95 Ta.upf
ATOMIC_POSITIONS crystal
Be 0.500 0.500 0.750
Ba 0.500 0.500 0.250
Ta 0.000 0.000 0.919
Ta 0.000 0.000 0.581
CELL_PARAMETERS angstrom
2.941 0.043 0.000
-0.050 2.941 0.000
0.000 0.000 9.544
```

- Formation energy from the elements: 718 meV/atom
- Symmetry: Cmmm (65)
- Electronic total energy: -26.5 eV per formula unit

---

DFT (PBE-GGA) results for crystalline V2SbPtCl at its relaxed geometry. Values from VASP.

The structure in Quantum ESPRESSO input format:
```
&SYSTEM
  ibrav = 0, nat = 5, ntyp = 4
/
ATOMIC_SPECIES
Sb 121.76 Sb.upf
Cl 35.45 Cl.upf
Pt 195.08 Pt.upf
V 50.94 V.upf
ATOMIC_POSITIONS crystal
Sb 0.000 0.000 0.000
Cl 0.500 0.500 0.500
Pt 0.000 0.500 0.000
V 0.000 0.000 0.500
V 0.500 0.000 0.000
CELL_PARAMETERS angstrom
5.277 0.000 0.000
0.000 4.889 0.000
0.000 0.000 5.277
```

- Symmetry: P4/mmm (123)
- Energy relative to the elements, uncorrected: 0.914 eV per atom
- Electronic total energy: -25.7 eV per formula unit

---

DFT (PBE-GGA) results for crystalline La16Pm7Dy6 at its relaxed geometry. Values from VASP.

The structure in Quantum ESPRESSO input format:
```
&SYSTEM
  ibrav = 0, nat = 29, ntyp = 3
/
ATOMIC_SPECIES
La 138.91 La.upf
Pm 145.00 Pm.upf
Dy 162.50 Dy.upf
ATOMIC_POSITIONS crystal
La 0.875 0.875 0.375
La 0.875 0.875 0.875
La 0.875 0.375 0.875
La 0.375 0.875 0.875
La 0.125 0.125 0.125
La 0.125 0.125 0.625
La 0.125 0.625 0.125
La 0.625 0.125 0.125
La 0.651 0.651 0.047
La 0.651 0.651 0.651
La 0.651 0.047 0.651
La 0.047 0.651 0.651
La 0.349 0.349 0.349
La 0.349 0.349 0.953
La 0.349 0.953 0.349
La 0.953 0.349 0.349
Pm 0.000 0.000 0.000
Pm 0.500 0.000 0.500
Pm 0.000 0.500 0.000
Pm 0.000 0.500 0.500
Pm 0.500 0.000 0.000
Pm 0.000 0.000 0.500
Pm 0.500 0.500 0.000
Dy 0.263 0.737 0.263
Dy 0.737 0.263 0.737
Dy 0.737 0.263 0.263
Dy 0.263 0.737 0.737
Dy 0.737 0.737 0.263
Dy 0.263 0.263 0.737
CELL_PARAMETERS angstrom
9.977 0.000 5.760
3.326 9.406 5.760
0.000 0.000 11.520
```

- Formation energy from the elements: 199 meV/atom
- Symmetry: Fm-3m (225)
- Electronic total energy: -133.9 eV per formula unit

---

DFT (PBE-GGA) results for crystalline Dy6Ho2Se3 at its relaxed geometry. Values from VASP.

The structure in Quantum ESPRESSO input format:
```
&SYSTEM
  ibrav = 0, nat = 11, ntyp = 3
/
ATOMIC_SPECIES
Dy 162.50 Dy.upf
Ho 164.93 Ho.upf
Se 78.96 Se.upf
ATOMIC_POSITIONS crystal
Dy 0.074 0.074 0.779
Dy 0.926 0.926 0.221
Dy 0.185 0.185 0.445
Dy 0.815 0.815 0.555
Dy 0.358 0.358 0.927
Dy 0.642 0.642 0.073
Ho 0.444 0.444 0.668
Ho 0.556 0.556 0.332
Se 0.000 0.000 0.000
Se 0.285 0.285 0.145
Se 0.715 0.715 0.855
CELL_PARAMETERS angstrom
-3.414 0.823 1.420
-1.567 -2.267 2.599
9.182 12.967 19.611
```

- Symmetry: R-3m (166)
- Energy relative to the elements, uncorrected: -0.879 eV per atom
- Electronic total energy: -56.9 eV per formula unit

---

DFT (PBE-GGA) results for crystalline RbTl2Hg at its relaxed geometry. Values from VASP.

The structure in Quantum ESPRESSO input format:
```
&SYSTEM
  ibrav = 0, nat = 4, ntyp = 3
/
ATOMIC_SPECIES
Rb 85.47 Rb.upf
Tl 204.38 Tl.upf
Hg 200.59 Hg.upf
ATOMIC_POSITIONS crystal
Rb 0.495 0.495 0.516
Tl 0.043 0.043 0.870
Tl 0.285 0.285 0.145
Hg 0.677 0.677 0.968
CELL_PARAMETERS angstrom
5.242 0.000 0.000
2.621 4.540 0.000
2.621 1.513 6.620
```

- Formation energy from the elements: -94 meV/atom
- ΔE to the lowest computed polymorph: 0.02 eV per formula unit
- Symmetry: R3m (160)
- Electronic total energy: -6.4 eV per formula unit

---

DFT (PBE-GGA) results for crystalline La2PrNi2Ge2 at its relaxed geometry. Values from VASP.

The structure in Quantum ESPRESSO input format:
```
&SYSTEM
  ibrav = 0, nat = 7, ntyp = 4
/
ATOMIC_SPECIES
La 138.91 La.upf
Pr 140.91 Pr.upf
Ni 58.69 Ni.upf
Ge 72.64 Ge.upf
ATOMIC_POSITIONS crystal
La 0.125 0.125 0.625
La 0.875 0.875 0.375
Pr 0.000 0.000 0.000
Ni 0.602 0.602 0.193
Ni 0.398 0.398 0.807
Ge 0.734 0.734 0.799
Ge 0.266 0.266 0.201
CELL_PARAMETERS angstrom
4.311 0.000 0.000
2.155 3.733 0.000
2.155 1.244 9.915
```

- Formation energy from the elements: -599 meV/atom
- Symmetry: R-3m (166)
- Electronic total energy: -39.6 eV per formula unit

---

DFT (PBE-GGA) results for crystalline TlIrOF2 at its relaxed geometry. Values from VASP.

The structure in Quantum ESPRESSO input format:
```
&SYSTEM
  ibrav = 0, nat = 5, ntyp = 4
/
ATOMIC_SPECIES
Tl 204.38 Tl.upf
Ir 192.22 Ir.upf
O 16.00 O.upf
F 19.00 F.upf
ATOMIC_POSITIONS crystal
Tl 0.500 0.500 0.500
Ir 0.000 0.000 0.000
O 0.000 0.000 0.500
F 0.000 0.500 0.000
F 0.500 0.000 0.000
CELL_PARAMETERS angstrom
-0.724 0.816 -4.481
1.677 -4.171 -1.031
-3.445 -1.457 0.291
```

- ΔE to the lowest computed polymorph: 0.00 eV per formula unit
- Symmetry: P4/mmm (123)
- Energy relative to the elements, uncorrected: -0.978 eV per atom
- Electronic total energy: -24.8 eV per formula unit

---

DFT (PBE-GGA) results for crystalline ZnCSN2 at its relaxed geometry. Values from VASP.

The structure in Quantum ESPRESSO input format:
```
&SYSTEM
  ibrav = 0, nat = 5, ntyp = 4
/
ATOMIC_SPECIES
C 12.01 C.upf
Zn 65.41 Zn.upf
S 32.06 S.upf
N 14.01 N.upf
ATOMIC_POSITIONS crystal
C 0.000 0.000 0.000
Zn 0.500 0.500 0.500
S 0.000 0.000 0.500
N 0.000 0.500 0.000
N 0.500 0.000 0.000
CELL_PARAMETERS angstrom
-1.242 -1.822 2.258
-2.136 -1.088 -2.053
4.781 -5.686 -1.960
```

- ΔE to the lowest computed polymorph: 0.00 eV per formula unit
- Symmetry: P4/mmm (123)
- Energy relative to the elements, uncorrected: 1.709 eV per atom
- Electronic total energy: -22.7 eV per formula unit

---

DFT (PBE-GGA) results for crystalline CaLa5PrSm2 at its relaxed geometry. Values from VASP.

The structure in Quantum ESPRESSO input format:
```
&SYSTEM
  ibrav = 0, nat = 18, ntyp = 4
/
ATOMIC_SPECIES
Ca 40.08 Ca.upf
La 138.91 La.upf
Pr 140.91 Pr.upf
Sm 150.36 Sm.upf
ATOMIC_POSITIONS crystal
Ca 0.250 0.750 0.500
Ca 0.750 0.250 0.500
La 0.923 0.423 0.256
La 0.667 0.167 0.744
La 0.077 0.577 0.744
La 0.167 0.077 0.744
La 0.577 0.667 0.744
La 0.833 0.923 0.256
La 0.423 0.333 0.256
La 0.333 0.833 0.256
La 0.500 0.500 0.000
La 0.000 0.000 0.000
Pr 0.250 0.250 0.500
Pr 0.750 0.750 0.500
Sm 0.111 0.389 0.000
Sm 0.611 0.111 0.000
Sm 0.389 0.889 0.000
Sm 0.889 0.611 0.000
CELL_PARAMETERS angstrom
-0.606 5.812 -7.500
-8.578 -3.548 -2.056
1.398 4.094 9.085
```

- Formation energy from the elements: 256 meV/atom
- Symmetry: I4/mcm (140)
- Electronic total energy: -38.6 eV per formula unit

---

DFT (PBE-GGA) results for crystalline NbPt3Cl at its relaxed geometry. Values from VASP.

The structure in Quantum ESPRESSO input format:
```
&SYSTEM
  ibrav = 0, nat = 5, ntyp = 3
/
ATOMIC_SPECIES
Nb 92.91 Nb.upf
Pt 195.08 Pt.upf
Cl 35.45 Cl.upf
ATOMIC_POSITIONS crystal
Nb 0.000 0.000 0.000
Pt 0.000 0.500 0.000
Pt 0.000 0.000 0.500
Pt 0.500 0.000 0.000
Cl 0.500 0.500 0.500
CELL_PARAMETERS angstrom
-1.386 -0.596 4.692
4.642 -1.105 1.231
0.903 4.765 0.872
```

- ΔE to the lowest computed polymorph: 0.27 eV per formula unit
- Symmetry: Pm-3m (221)
- Energy relative to the elements, uncorrected: 1.087 eV per atom
- Electronic total energy: -24.6 eV per formula unit

---

DFT (PBE-GGA) results for crystalline ZnFeOs at its relaxed geometry. Values from VASP.

The structure in Quantum ESPRESSO input format:
```
&SYSTEM
  ibrav = 0, nat = 3, ntyp = 3
/
ATOMIC_SPECIES
Fe 55.84 Fe.upf
Os 190.23 Os.upf
Zn 65.41 Zn.upf
ATOMIC_POSITIONS crystal
Fe 0.750 0.750 0.750
Os 0.000 0.000 0.000
Zn 0.500 0.500 0.500
CELL_PARAMETERS angstrom
-3.667 0.250 -1.410
-1.671 -3.130 -1.704
-2.938 -1.892 1.812
```

- Formation energy from the elements: 396 meV/atom
- ΔE to the lowest computed polymorph: 0.99 eV per formula unit
- Symmetry: F-43m (216)
- Electronic total energy: -19.8 eV per formula unit

---

DFT (PBE-GGA) results for crystalline In3Se2 at its relaxed geometry. Values from VASP.

The structure in Quantum ESPRESSO input format:
```
&SYSTEM
  ibrav = 0, nat = 10, ntyp = 2
/
ATOMIC_SPECIES
Se 78.96 Se.upf
In 114.82 In.upf
ATOMIC_POSITIONS crystal
Se 0.879 0.879 0.362
Se 0.379 0.379 0.862
Se 0.121 0.121 0.638
Se 0.621 0.621 0.138
In 0.006 0.750 0.750
In 0.750 0.494 0.750
In 0.494 0.006 0.750
In 0.250 0.506 0.250
In 0.506 0.994 0.250
In 0.994 0.250 0.250
CELL_PARAMETERS angstrom
-2.458 3.420 5.790
-4.495 -3.318 4.478
3.379 -2.444 7.305
```

- ΔE to the lowest computed polymorph: 0.83 eV per formula unit
- Symmetry: R-3c (167)
- Energy relative to the elements, uncorrected: -0.216 eV per atom
- Electronic total energy: -16.3 eV per formula unit

---

DFT (PBE-GGA) results for crystalline BaCrSe2N at its relaxed geometry. Values from VASP.

The structure in Quantum ESPRESSO input format:
```
&SYSTEM
  ibrav = 0, nat = 5, ntyp = 4
/
ATOMIC_SPECIES
Cr 52.00 Cr.upf
Ba 137.33 Ba.upf
Se 78.96 Se.upf
N 14.01 N.upf
ATOMIC_POSITIONS crystal
Cr 0.500 0.500 0.500
Ba 0.000 0.000 0.000
Se 0.000 0.500 0.000
Se 0.500 0.000 0.000
N 0.000 0.000 0.500
CELL_PARAMETERS angstrom
-2.589 -5.550 -0.298
5.542 -2.603 0.323
-0.350 -0.111 5.104
```

- ΔE to the lowest computed polymorph: 8.92 eV per formula unit
- Symmetry: P4/mmm (123)
- Energy relative to the elements, uncorrected: 1.120 eV per atom
- Electronic total energy: -21.2 eV per formula unit

---

DFT (PBE-GGA) results for crystalline VCr3Se at its relaxed geometry. Values from VASP.

The structure in Quantum ESPRESSO input format:
```
&SYSTEM
  ibrav = 0, nat = 5, ntyp = 3
/
ATOMIC_SPECIES
Cr 52.00 Cr.upf
Se 78.96 Se.upf
V 50.94 V.upf
ATOMIC_POSITIONS crystal
Cr 0.000 0.500 0.000
Cr 0.000 0.000 0.500
Cr 0.500 0.000 0.000
Se 0.000 0.000 0.000
V 0.500 0.500 0.500
CELL_PARAMETERS angstrom
-2.502 -1.631 -3.310
2.509 -3.684 -0.081
-2.706 -1.908 2.986
```

- ΔE to the lowest computed polymorph: 0.00 eV per formula unit
- Symmetry: Pm-3m (221)
- Energy relative to the elements, uncorrected: 0.950 eV per atom
- Electronic total energy: -36.7 eV per formula unit

---

DFT (PBE-GGA) results for crystalline Pr6ThIn at its relaxed geometry. Values from VASP.

The structure in Quantum ESPRESSO input format:
```
&SYSTEM
  ibrav = 0, nat = 8, ntyp = 3
/
ATOMIC_SPECIES
Pr 140.91 Pr.upf
Th 232.04 Th.upf
In 114.82 In.upf
ATOMIC_POSITIONS crystal
Pr 0.500 0.500 0.000
Pr 0.500 0.500 0.500
Pr 0.500 0.000 0.247
Pr 0.500 0.000 0.753
Pr 0.000 0.500 0.247
Pr 0.000 0.500 0.753
Th 0.000 0.000 0.500
In 0.000 0.000 0.000
CELL_PARAMETERS angstrom
-1.501 2.435 -4.210
-2.181 -4.275 -1.694
-8.795 2.640 4.664
```

- Formation energy from the elements: -93 meV/atom
- Symmetry: P4/mmm (123)
- Electronic total energy: -39.6 eV per formula unit

---

DFT (PBE-GGA) results for crystalline Ca2BeSi at its relaxed geometry. Values from VASP.

The structure in Quantum ESPRESSO input format:
```
&SYSTEM
  ibrav = 0, nat = 4, ntyp = 3
/
ATOMIC_SPECIES
Be 9.01 Be.upf
Ca 40.08 Ca.upf
Si 28.09 Si.upf
ATOMIC_POSITIONS crystal
Be 0.500 0.500 0.750
Ca 0.000 0.000 0.995
Ca 0.000 0.000 0.505
Si 0.500 0.500 0.250
CELL_PARAMETERS angstrom
-1.540 -3.129 0.432
2.454 -1.487 -2.023
4.079 -1.202 5.832
```

- ΔE to the lowest computed polymorph: 1.02 eV per formula unit
- Symmetry: P4/mmm (123)
- Energy relative to the elements, uncorrected: 0.046 eV per atom
- Electronic total energy: -13.0 eV per formula unit